Entry 1:
Crystalline MnCdP2 at its relaxed geometry. Source: Alexandria, functional PBE.

Lattice parameters (Å, degrees): 3.431 3.431 6.312 90.00 90.00 90.00
Fractional coordinates of all 4 atoms:
Mn 0.000 0.000 0.000
Cd 0.500 0.500 0.543
P 0.000 0.000 0.354
P 0.500 0.500 0.953

Summary:
Density of states at the Fermi level (states/eV per atom): 0.564
Calculated density (g/cm³): 5.12
Formation energy from the elements (eV/atom): 0.12
Symmetry: P4mm (99)

=====

Entry 2:
Crystalline TeRuW at its relaxed geometry. Source: Alexandria, functional PBE.

Lattice parameters (Å, degrees): 3.080 3.080 11.148 90.00 90.00 90.00
Fractional coordinates of all 6 atoms:
Te 0.000 0.000 0.000
Te 0.500 0.500 0.500
Ru 0.000 0.000 0.317
Ru 0.500 0.500 0.817
W 0.000 0.000 0.678
W 0.500 0.500 0.178

Summary:
Density of states at the Fermi level (states/eV per atom): 0.679
Calculated density (g/cm³): 12.95
Energy above the most stable polymorph in this dataset (kJ/mol of atoms): 0.0
E_form (uncorrected) (eV per formula unit): 1.24
Symmetry: I4mm (107)

=====

Entry 3:
Crystalline Hf5HgN at its relaxed geometry. Source: Alexandria, functional PBE.

Lattice parameters (Å, degrees): 6.354 6.354 8.227 105.59 105.59 70.26
Fractional coordinates of all 14 atoms:
Hf 0.072 0.341 0.647
Hf 0.079 0.921 0.750
Hf 0.160 0.641 0.039
Hf 0.341 0.072 0.147
Hf 0.359 0.840 0.461
Hf 0.641 0.160 0.539
Hf 0.659 0.928 0.853
Hf 0.840 0.359 0.961
Hf 0.921 0.079 0.250
Hf 0.928 0.659 0.353
Hg 0.446 0.554 0.750
Hg 0.554 0.446 0.250
N 0.000 0.000 0.000
N 0.000 0.000 0.500

Summary:
Density of states at the Fermi level (states/eV per atom): 0.717
Calculated density (g/cm³): 12.45
Energy above the most stable polymorph in this dataset (kJ/mol of atoms): 0.0
E_form (uncorrected) (eV per formula unit): -1.72
Symmetry: C2/c (15)

=====

Entry 4:
Crystalline Be2SbAs at its relaxed geometry. Source: Alexandria, functional PBE.

Lattice parameters (Å, degrees): 3.238 3.238 7.263 90.00 90.00 90.00
Fractional coordinates of all 4 atoms:
Be 0.000 0.000 0.000
Be 0.500 0.500 0.156
Sb 0.000 0.000 0.356
As 0.500 0.500 0.857

Summary:
Density of states at the Fermi level (states/eV per atom): 0.401
Calculated density (g/cm³): 4.68
Energy above the most stable polymorph in this dataset (kJ/mol of atoms): 11.1
E_form (uncorrected) (eV per formula unit): 1.02
Symmetry: P4mm (99)

=====

Entry 5:
Crystalline Nd8CuOs3Cl4 at its relaxed geometry. Source: Alexandria, functional PBE.

Lattice parameters (Å, degrees): 8.184 8.184 8.968 117.19 117.19 60.02
Fractional coordinates of all 16 atoms:
Nd 0.224 0.741 0.706
Nd 0.237 0.237 0.710
Nd 0.259 0.259 0.294
Nd 0.259 0.776 0.294
Nd 0.741 0.224 0.706
Nd 0.741 0.741 0.706
Nd 0.763 0.763 0.290
Nd 0.776 0.259 0.294
Cu 0.500 0.500 0.500
Os 0.000 0.000 0.500
Os 0.000 0.500 0.500
Os 0.500 0.000 0.500
Cl 0.000 0.000 0.000
Cl 0.000 0.500 0.000
Cl 0.500 0.000 0.000
Cl 0.500 0.500 0.000

Summary:
Density of states at the Fermi level (states/eV per atom): 0.377
Calculated density (g/cm³): 7.25
E_form (uncorrected) (eV per formula unit): -12.69
Symmetry: C2/m (12)

=====

Entry 6:
Crystalline LiYP2 at its relaxed geometry. Source: Alexandria, functional PBE.

Lattice parameters (Å, degrees): 4.448 4.448 7.410 90.00 90.00 90.00
Fractional coordinates of all 8 atoms:
Li 0.000 0.000 0.000
Li 0.500 0.500 0.500
Y 0.000 0.000 0.500
Y 0.500 0.500 0.000
P 0.000 0.500 0.250
P 0.000 0.500 0.750
P 0.500 0.000 0.250
P 0.500 0.000 0.750

Summary:
Density of states at the Fermi level (states/eV per atom): 0.366
Calculated density (g/cm³): 3.57
Formation energy from the elements (eV/atom): -0.69
Energy above the most stable polymorph in this dataset (kJ/mol of atoms): 17.3
Symmetry: I4/mmm (139)

=====

Entry 7:
Crystalline GaCuPt2 at its relaxed geometry. Source: Alexandria, functional PBE.

Lattice parameters (Å, degrees): 6.858 6.858 5.435 90.00 90.00 90.00
Fractional coordinates of all 16 atoms:
Ga 0.000 0.000 0.000
Ga 0.000 0.500 0.250
Ga 0.500 0.000 0.750
Ga 0.500 0.500 0.500
Cu 0.000 0.000 0.500
Cu 0.000 0.500 0.750
Cu 0.500 0.000 0.250
Cu 0.500 0.500 0.000
Pt 0.240 0.750 0.125
Pt 0.250 0.240 0.875
Pt 0.250 0.260 0.375
Pt 0.260 0.750 0.625
Pt 0.740 0.250 0.625
Pt 0.750 0.740 0.375
Pt 0.750 0.760 0.875
Pt 0.760 0.250 0.125

Summary:
Density of states at the Fermi level (states/eV per atom): 0.252
Calculated density (g/cm³): 13.60
Formation energy from the elements (eV/atom): -0.15
Symmetry: I-42d (122)

=====

Entry 8:
Crystalline Cs2Rb6AuO at its relaxed geometry. Source: Alexandria, functional PBE.

Lattice parameters (Å, degrees): 9.458 9.458 9.897 119.04 119.04 78.56
Fractional coordinates of all 10 atoms:
Cs 0.204 0.796 0.000
Cs 0.796 0.204 0.000
Rb 0.191 0.191 0.587
Rb 0.246 0.679 0.502
Rb 0.329 0.329 0.149
Rb 0.654 0.654 0.851
Rb 0.679 0.246 0.502
Rb 0.690 0.690 0.470
Au 0.017 0.017 0.741
O 0.519 0.519 0.497

Summary:
Density of states at the Fermi level (states/eV per atom): 0.546
Calculated density (g/cm³): 2.44
E_form (uncorrected) (eV per formula unit): -3.17
Symmetry: Cm (8)

=====

Q: Which formula does entry 3 have?
A: Hf5HgN